Entry 1:
A plane-wave DFT calculation with PBEsol was carried out for Ca2SbAs after structural relaxation.

```
data_Ca2SbAs
_chemical_formula_sum 'Ca2 Sb1 As1'
_cell_length_a 3.3840
_cell_length_b 5.1611
_cell_length_c 6.1926
_cell_angle_alpha 90.00
_cell_angle_beta 90.00
_cell_angle_gamma 90.00
_symmetry_space_group_name_H-M 'P m m m'
_symmetry_Int_Tables_number 47
loop_
_symmetry_equiv_pos_as_xyz
'x,y,z'
'-x,-y,-z'
'-x,-y,z'
'x,y,-z'
'x,-y,-z'
'-x,y,z'
'-x,y,-z'
'x,-y,z'
loop_
_atom_site_label
_atom_site_fract_x
_atom_site_fract_y
_atom_site_fract_z
Ca1 0.0000 0.0000 0.0000
Ca2 0.5000 0.5000 0.5000
Sb1 0.0000 0.0000 0.5000
As1 0.5000 0.5000 0.0000
```

formation energy from raw total energies	-77.0	kJ per mole of atoms



Entry 2:
A plane-wave DFT calculation with PBEsol was carried out for Ti3Fe2SbP6O24 after structural relaxation.

```
data_Ti3Fe2SbP6O24
_chemical_formula_sum 'Ti9 Fe6 Sb3 P18 O72'
_cell_length_a 8.7679
_cell_length_b 8.7679
_cell_length_c 19.9227
_cell_angle_alpha 90.00
_cell_angle_beta 90.00
_cell_angle_gamma 120.00
_symmetry_space_group_name_H-M 'R 3'
_symmetry_Int_Tables_number 146
_symmetry_space_group_name_Hall 'R 3'
loop_
_atom_site_label
_atom_site_fract_x
_atom_site_fract_y
_atom_site_fract_z
Ti1 0.0000 0.0000 0.0000
Ti2 0.0000 0.0000 0.2177
Ti3 0.0000 0.0000 0.5094
Fe1 0.0000 0.0000 0.3676
Fe2 0.0000 0.0000 0.8649
Sb1 0.0000 0.0000 0.7093
P1 0.0029 0.7074 0.1113
P2 0.0263 0.3549 0.2836
O1 0.0039 0.8062 0.0476
O2 0.0162 0.8212 0.1719
O3 0.0208 0.8306 0.7888
O4 0.0861 0.4175 0.3545
O5 0.1570 0.4740 0.2293
O6 0.1646 0.4862 0.6010
O7 0.1670 0.6823 0.1086
O8 0.1691 0.4970 0.9501
```

formation energy from raw total energies	-212.6	kJ per mole of atoms



Entry 3:
A plane-wave DFT calculation with PBEsol was carried out for DyRh5 after structural relaxation.

```
data_DyRh5
_chemical_formula_sum 'Dy1 Rh5'
_cell_length_a 5.1349
_cell_length_b 5.1349
_cell_length_c 4.2662
_cell_angle_alpha 90.00
_cell_angle_beta 90.00
_cell_angle_gamma 120.00
_symmetry_space_group_name_H-M 'P 6/m m m'
_symmetry_Int_Tables_number 191
_symmetry_space_group_name_Hall '-P 6 2'
loop_
_atom_site_label
_atom_site_fract_x
_atom_site_fract_y
_atom_site_fract_z
Dy1 0.0000 0.0000 0.0000
Rh1 0.0000 0.5000 0.5000
Rh2 0.3333 0.6667 0.0000
```

formation enthalpy at 0 K	-0.263	eV/atom



Please write out number 3 again, unchanged.
A plane-wave DFT calculation with PBEsol was carried out for DyRh5 after structural relaxation.

```
data_DyRh5
_chemical_formula_sum 'Dy1 Rh5'
_cell_length_a 5.1349
_cell_length_b 5.1349
_cell_length_c 4.2662
_cell_angle_alpha 90.00
_cell_angle_beta 90.00
_cell_angle_gamma 120.00
_symmetry_space_group_name_H-M 'P 6/m m m'
_symmetry_Int_Tables_number 191
_symmetry_space_group_name_Hall '-P 6 2'
loop_
_atom_site_label
_atom_site_fract_x
_atom_site_fract_y
_atom_site_fract_z
Dy1 0.0000 0.0000 0.0000
Rh1 0.0000 0.5000 0.5000
Rh2 0.3333 0.6667 0.0000
```

formation enthalpy at 0 K	-0.263	eV/atom



Please write out number 3 again, unchanged.
A plane-wave DFT calculation with PBEsol was carried out for DyRh5 after structural relaxation.

```
data_DyRh5
_chemical_formula_sum 'Dy1 Rh5'
_cell_length_a 5.1349
_cell_length_b 5.1349
_cell_length_c 4.2662
_cell_angle_alpha 90.00
_cell_angle_beta 90.00
_cell_angle_gamma 120.00
_symmetry_space_group_name_H-M 'P 6/m m m'
_symmetry_Int_Tables_number 191
_symmetry_space_group_name_Hall '-P 6 2'
loop_
_atom_site_label
_atom_site_fract_x
_atom_site_fract_y
_atom_site_fract_z
Dy1 0.0000 0.0000 0.0000
Rh1 0.0000 0.5000 0.5000
Rh2 0.3333 0.6667 0.0000
```

formation enthalpy at 0 K	-0.263	eV/atom